Entry 1:
# KRePb2

A geometry-optimized KRePb2 structure (PBEsol, the Alexandria database).

Cell lengths 2.9927, 4.5687, 8.0609 Å; angles 95.56, 90.00, 109.12 degrees
Fractional coordinates of all 4 atoms:
K 0.5000 0.0000 0.0000
Pb 0.7388 0.4775 0.6941
Pb 0.2612 0.5225 0.3059
Re 0.0000 0.0000 0.5000

Values from the calculation:
* N(E_F): 1.7 states/eV/f.u.
* crystal system: monoclinic
* ΔE_f: 0.655 eV/atom
* calculated total energy: -19.84 eV/f.u.
* calculated volume: 104 Å³/f.u.

***

Entry 2:
# Sr2TlHg

A geometry-optimized Sr2TlHg structure (PBEsol, the Alexandria database).

Cell lengths 3.8897, 5.6530, 5.6542 Å; angles 90.00, 90.00, 90.00 degrees
Fractional coordinates of all 4 atoms:
Sr 0.0000 0.0000 0.1250
Sr 0.0000 0.5000 0.6249
Tl 0.5000 0.0000 0.6250
Hg 0.5000 0.5000 0.1251

Values from the calculation:
* N(E_F): 2.2 states/eV/f.u.
* crystal system: tetragonal
* ΔE_f: -0.528 eV/atom
* calculated total energy: -8.99 eV/f.u.
* calculated volume: 124 Å³/f.u.

***

Entry 3:
# Ni2OsSe

A geometry-optimized Ni2OsSe structure (PBEsol, the Alexandria database).

Cell lengths 2.6107, 4.4609, 4.4609 Å; angles 90.00, 90.00, 90.00 degrees
Fractional coordinates of all 4 atoms:
Ni 0.0000 0.0000 0.5000
Ni 0.0000 0.5000 0.0000
Os 0.5000 0.5000 0.5000
Se 0.5000 0.0000 0.0000

Values from the calculation:
* N(E_F): 3.4 states/eV/f.u.
* crystal system: tetragonal
* calculated total energy: -26.63 eV/f.u.
* calculated volume: 52 Å³/f.u.

***

Entry 4:
# La2RePt

A geometry-optimized La2RePt structure (PBEsol, the Alexandria database).

Cell lengths 3.5290, 5.0580, 5.0580 Å; angles 93.64, 91.41, 91.41 degrees
Fractional coordinates of all 4 atoms:
La 0.0000 0.0000 0.5000
La 0.0000 0.5000 0.0000
Pt 0.5000 0.5000 0.5000
Re 0.5000 0.0000 0.0000

Values from the calculation:
* N(E_F): 5.4 states/eV/f.u.
* crystal system: monoclinic
* ΔE_f: -0.086 eV/atom
* calculated total energy: -31.33 eV/f.u.
* calculated volume: 90 Å³/f.u.

***

Entry 5:
# RbIn2Ag

A geometry-optimized RbIn2Ag structure (PBEsol, the Alexandria database).

Cell lengths 5.2799, 5.2799, 5.2799 Å; angles 60.00, 60.00, 60.00 degrees
Fractional coordinates of all 4 atoms:
Rb 0.0000 0.0000 0.0000
Ag 0.5000 0.5000 0.5000
In 0.2500 0.2500 0.2500
In 0.7500 0.7500 0.7500

Values from the calculation:
* N(E_F): 2.2 states/eV/f.u.
* crystal system: cubic
* ΔE_f: 0.211 eV/atom
* calculated total energy: -9.46 eV/f.u.
* calculated volume: 104 Å³/f.u.

***

Entry 6:
# CaRe2Te

A geometry-optimized CaRe2Te structure (PBEsol, the Alexandria database).

Cell lengths 3.5665, 5.0720, 5.5401 Å; angles 117.24, 108.78, 90.00 degrees
Fractional coordinates of all 4 atoms:
Re 0.0529 0.0529 0.1058
Re 0.7273 0.2273 0.4546
Ca 0.2482 0.7482 0.4963
Te 0.4716 0.4716 0.9432

Values from the calculation:
* N(E_F): 3.0 states/eV/f.u.
* crystal system: orthorhombic
* calculated total energy: -30.08 eV/f.u.
* calculated volume: 83 Å³/f.u.

***

Entry 7:
# LiNb3Bi4O14

A geometry-optimized LiNb3Bi4O14 structure (PBEsol, the Alexandria database).

Cell lengths 7.5983, 7.5983, 12.0651 Å; angles 79.97, 79.97, 60.68 degrees
Fractional coordinates of all 44 atoms:
Li 0.4675 0.5325 0.2500
Li 0.5325 0.4675 0.7500
Nb 0.3750 0.1260 0.2604
Nb 0.8740 0.6250 0.2396
Nb 0.1352 0.8648 0.7500
Nb 0.1260 0.3750 0.7604
Nb 0.6250 0.8740 0.7396
Nb 0.8648 0.1352 0.2500
Bi 0.5074 0.7274 0.4939
Bi 0.2568 0.9753 0.0274
Bi 0.7432 0.0247 0.9726
Bi 0.2726 0.4926 0.0061
Bi 0.9753 0.2568 0.5274
Bi 0.4926 0.2726 0.5061
Bi 0.0247 0.7432 0.4726
Bi 0.7274 0.5074 0.9939
O 0.8533 0.1371 0.4172
O 0.4224 0.6154 0.0899
O 0.1371 0.8533 0.9172
O 0.7276 0.8525 0.5824
O 0.5533 0.8538 0.9132
O 0.3846 0.5776 0.4101
O 0.1490 0.0732 0.2306
O 0.1467 0.8629 0.5828
O 0.8525 0.7276 0.0824
O 0.9268 0.8510 0.2694
O 0.4467 0.1462 0.0868
O 0.0732 0.1490 0.7306
O 0.5776 0.3846 0.9101
O 0.4399 0.7737 0.7165
O 0.1462 0.4467 0.5868
O 0.8538 0.5533 0.4132
O 0.7737 0.4399 0.2165
O 0.5601 0.2263 0.2835
O 0.4367 0.1558 0.7162
O 0.5633 0.8442 0.2838
O 0.2263 0.5601 0.7835
O 0.1558 0.4367 0.2162
O 0.2724 0.1475 0.4176
O 0.6154 0.4224 0.5899
O 0.8629 0.1467 0.0828
O 0.8442 0.5633 0.7838
O 0.1475 0.2724 0.9176
O 0.8510 0.9268 0.7694

Values from the calculation:
* N(E_F): 0.0 states/eV/f.u.
* crystal system: monoclinic
* calculated total energy: -169.06 eV/f.u.
* calculated volume: 297 Å³/f.u.

***

Entry 8:
# ZrZnIr

A geometry-optimized ZrZnIr structure (PBEsol, the Alexandria database).

Cell lengths 2.9766, 4.3563, 4.3563 Å; angles 120.00, 90.00, 90.00 degrees
Fractional coordinates of all 3 atoms:
Zn 0.8338 0.3333 0.6667
Ir 0.8324 0.0000 0.0000
Zr 0.3338 0.6667 0.3333

Values from the calculation:
* N(E_F): 2.6 states/eV/f.u.
* crystal system: hexagonal
* ΔE_f: -0.537 eV/atom
* calculated total energy: -22.11 eV/f.u.
* calculated volume: 49 Å³/f.u.